1.
HIr | PBE | optimized geometry

As for the total DFT energy (no corrections): -22.77 eV per cell. As for the crystal system: hexagonal. As for the mass density: 17.251 g cm⁻³.

The structure belongs to space group P6_3mc (No. 186); the cell edges are 2.7733, 2.7733 and 5.5848 Å and the angles 90.00°, 90.00° and 120.00°. The inequivalent atoms are H at (0.3333, 0.6667, 0.0000) and Ir at (0.3333, 0.6667, 0.3162).


2.
H6Ir | PBE | optimized geometry

As for the total DFT energy (no corrections): -111.42 eV per cell. As for the crystal system: orthorhombic. As for the mass density: 4.722 g cm⁻³.

The structure belongs to space group Pnma (No. 62); the cell edges are 11.0047, 7.7384 and 3.2748 Å and the angles 90.00°, 90.00° and 90.00°. The inequivalent atoms are H at (0.0087, 0.0382, 0.1337), H at (0.0547, 0.7500, 0.4857), H at (0.1340, 0.2500, 0.0403), H at (0.1694, 0.6940, 0.9797) and Ir at (0.0117, 0.7500, 0.9751).


3.
HIr | PBE | optimized geometry

As for the total DFT energy (no corrections): -22.86 eV per cell. As for the crystal system: monoclinic. As for the mass density: 10.627 g cm⁻³.

The structure belongs to space group P2_1/m (No. 11); the cell edges are 4.3377, 2.6540 and 5.2454 Å and the angles 90.00°, 90.14° and 90.00°. The inequivalent atoms are H at (0.2490, 0.2500, 0.1524) and Ir at (0.2499, 0.2500, 0.4501).


4.
HIr | PBE | optimized geometry

As for the total DFT energy (no corrections): -91.54 eV per cell. As for the crystal system: orthorhombic. As for the mass density: 17.524 g cm⁻³.

The structure belongs to space group P2_12_12_1 (No. 19); the cell edges are 4.3460, 5.1776 and 6.5097 Å and the angles 90.00°, 90.00° and 90.00°. The inequivalent atoms are H at (0.1201, 0.1065, 0.0591), H at (0.1452, 0.6163, 0.7127), Ir at (0.2337, 0.9179, 0.3052) and Ir at (0.2499, 0.4073, 0.4740).


Values for spin magnetization, μB/f.u., ordered as above
0.00; 0.00; 0.00; 0.00
Values for volume, Å³ per atom, ordered as above
9.300; 9.960; 15.096; 9.155